[1]
Computed, not measured: an optimized crystal structure of CoReTe2 at the PBE level of DFT.

a = 3.9271 Å, b = 3.9271 Å, c = 9.4876 Å
α = 90.00°, β = 90.00°, γ = 90.00°
Closest atoms and distances in Å follow each position.
Space group I-4m2 (No. 119)
Unique sites:
Co  0.0000  0.0000  0.0000  8 Te 2.78-3.08, 4 Re 3.08
Re  0.0000  0.5000  0.7500  8 Te 2.78-3.08, 4 Co 3.08
Te  0.0000  0.0000  0.5000  4 Co 2.78, 4 Re 3.08, 4 Te 3.08
Te  0.0000  0.5000  0.2500  4 Re 2.78, 4 Co 3.08, 4 Te 3.08

Energy above the lowest structure with this stoichiometry   0.840 eV per atom
VASP energy   -22.03 eV/f.u.
Volume   18.3 A^3/atom
Raw formation energy   951 meV/atom


[2]
Computed, not measured: an optimized crystal structure of ZnReBr2 at the PBE level of DFT.

a = 4.8698 Å, b = 4.8698 Å, c = 3.0897 Å
α = 90.00°, β = 90.00°, γ = 90.00°
Closest atoms and distances in Å follow each position.
Space group P4/mmm (No. 123)
Unique sites:
Zn  0.0000  0.0000  0.0000  8 Br 2.88, 2 Zn 3.09
Re  0.5000  0.5000  0.0000  8 Br 2.88, 2 Re 3.09
Br  0.0000  0.5000  0.5000  4 Re 2.88, 4 Zn 2.88, 2 Br 3.09

Energy above the lowest structure with this stoichiometry   0.943 eV per atom
VASP energy   -12.54 eV/f.u.
Volume   18.3 A^3/atom
Raw formation energy   1131 meV/atom


[3]
Computed, not measured: an optimized crystal structure of OsAu2Cl at the PBE level of DFT.

a = 8.8678 Å, b = 8.8678 Å, c = 4.4721 Å
α = 90.00°, β = 90.00°, γ = 90.00°
Closest atoms and distances in Å follow each position.
Space group I-42d (No. 122)
Unique sites:
Os  0.0000  0.0000  0.0000  2 Cl 2.24
Au  0.1578  0.2500  0.1250  2 Os 2.68, 2 Au 2.77
Cl  0.0000  0.0000  0.5000  2 Os 2.24

Energy above the lowest structure with this stoichiometry   0.413 eV per atom
VASP energy   -15.99 eV/f.u.
Volume   22.0 A^3/atom
Raw formation energy   910 meV/atom


[4]
Computed, not measured: an optimized crystal structure of RbSrGe2 at the PBE level of DFT.

a = 7.9317 Å, b = 7.9317 Å, c = 7.9317 Å
α = 90.00°, β = 90.00°, γ = 90.00°
Closest atoms and distances in Å follow each position.
Space group Fm-3m (No. 225)
Unique sites:
Rb  0.0000  0.0000  0.0000  8 Ge 3.43
Sr  0.0000  0.0000  0.5000  8 Ge 3.43
Ge  0.2500  0.2500  0.2500  4 Rb 3.43, 4 Sr 3.43

Energy above the lowest structure with this stoichiometry   0.000 eV per atom
VASP energy   -11.60 eV/f.u.
Volume   31.2 A^3/atom
Formation energy from the elements   71 meV per atom


[5]
Computed, not measured: an optimized crystal structure of PrDyHoTm3 at the PBE level of DFT.

a = 19.2896 Å, b = 5.5674 Å, c = 7.1653 Å
α = 90.00°, β = 90.67°, γ = 90.00°
Closest atoms and distances in Å follow each position.
Space group C2/m (No. 12)
Unique sites:
Pr  0.1438  0.0000  0.0312  1 Ho 3.00, 2 Tm 3.14-3.27
Dy  0.0520  0.5000  0.2764  3 Tm 3.15-3.28
Ho  0.1513  0.0000  0.4499  1 Pr 3.00, 2 Tm 3.16-3.28
Tm  0.0249  0.0000  0.7272  1 Pr 3.14, 2 Dy 3.15, 1 Ho 3.16, 1 Tm 3.38
Tm  0.1639  0.5000  0.7266  3 Ho 3.42-3.80, 3 Tm 3.56-3.66, 2 Pr 3.56
Tm  0.2216  0.5000  0.2423  3 Pr 3.27-3.50, 3 Ho 3.28-3.44, 1 Dy 3.28, 3 Tm 3.56-3.66

VASP energy   -26.08 eV/f.u.
Volume   32.1 A^3/atom
Formation energy from the elements   216 meV per atom


[6]
Computed, not measured: an optimized crystal structure of ThBeCl at the PBE level of DFT.

a = 4.0013 Å, b = 16.1274 Å, c = 3.8805 Å
α = 90.00°, β = 90.00°, γ = 90.00°
Closest atoms and distances in Å follow each position.
Space group Cmcm (No. 63)
Unique sites:
Th  0.0000  0.0995  0.2500  6 Be 2.78-3.07
Be  0.0000  0.4799  0.2500  2 Be 2.05
Cl  0.0000  0.3111  0.2500  1 Be 2.72

VASP energy   -15.24 eV/f.u.
Volume   20.9 A^3/atom
Raw formation energy   -749 meV/atom